(1)
Material: AgSnPt3
Method: DFT, PBE
State: optimized geometry

Properties
Density ... 11375 kg/m³
Space group ... Pm-3m
Total magnetization ... 0.00 μB/cell
Energy above the most stable polymorph in this dataset ... 269.4 meV/atom
Fermi-level density of states ... 9.90 states/eV/f.u.
DFT formation energy ... 1.128 eV per atom

a b c (Å): 4.9119 4.9119 4.9119
angles (deg): 90.00 90.00 90.00
Closest atoms and distances in Å follow each position.
Fractional positions:
Ag 0.0000 0.0000 0.0000  6 Pt 2.46
Sn 0.5000 0.5000 0.5000  12 Pt 3.47
Pt 0.0000 0.0000 0.5000  2 Ag 2.46
Pt 0.0000 0.5000 0.0000  2 Ag 2.46
Pt 0.5000 0.0000 0.0000  2 Ag 2.46

(2)
Material: Dy3TmAl2
Method: DFT, PBE
State: optimized geometry

Properties
Density ... 7202 kg/m³
Space group ... Immm
Total magnetization ... 0.00 μB/cell
Energy above the most stable polymorph in this dataset ... 519.5 meV/atom
Fermi-level density of states ... 7.76 states/eV/f.u.
DFT formation energy ... 0.225 eV per atom

a b c (Å): 9.6027 9.6027 9.6027
angles (deg): 160.34 146.60 39.06
Closest atoms and distances in Å follow each position.
Fractional positions:
Dy 0.0000 0.0000 0.0000  2 Tm 2.76, 4 Al 3.09
Dy 0.3124 0.8124 0.5000  5 Al 3.04-3.30, 2 Dy 3.28, 1 Tm 3.40
Dy 0.6876 0.1876 0.5000  5 Al 3.04-3.30, 2 Dy 3.28, 1 Tm 3.40
Tm 0.5000 0.0000 0.5000  2 Dy 2.76
Al 0.1446 0.6446 0.5000  7 Dy 3.04-3.30, 2 Al 3.28
Al 0.8554 0.3554 0.5000  7 Dy 3.04-3.30, 2 Al 3.28

(3)
Material: La4Pr2HoMg
Method: DFT, PBE
State: optimized geometry

Properties
Density ... 6207 kg/m³
Space group ... P4/mmm
Total magnetization ... 0.00 μB/cell
Fermi-level density of states ... 11.36 states/eV/f.u.
DFT formation energy ... -0.002 eV per atom

a b c (Å): 5.1598 5.1598 10.3166
angles (deg): 90.00 90.00 90.00
Closest atoms and distances in Å follow each position.
Fractional positions:
La 0.0000 0.5000 0.2474  2 Mg 3.63, 4 Pr 3.63-3.67, 4 La 3.65, 2 Ho 3.67
La 0.0000 0.5000 0.7526  4 Pr 3.63-3.67, 2 Mg 3.63, 4 La 3.65, 2 Ho 3.67
La 0.5000 0.0000 0.2474  2 Mg 3.63, 4 Pr 3.63-3.67, 4 La 3.65, 2 Ho 3.67
La 0.5000 0.0000 0.7526  4 Pr 3.63-3.67, 2 Mg 3.63, 4 La 3.65, 2 Ho 3.67
Pr 0.0000 0.0000 0.0000  8 La 3.63, 4 Mg 3.65
Pr 0.5000 0.5000 0.5000  4 Ho 3.65, 8 La 3.67
Ho 0.0000 0.0000 0.5000  4 Pr 3.65, 8 La 3.67
Mg 0.5000 0.5000 0.0000  8 La 3.63, 4 Pr 3.65